K2CdRe, relaxed, DFT PBE-GGA; size of the total moment = 0.27 Bohr magnetons per cell; energy relative to the elements = 1.04 eV per atom; N(E_F) = 2.99 states/eV/f.u.; space-group type = R-3m; crystal system = trigonal
1.0
-7.135 -9.823 2.659
-6.280 -9.228 5.465
-8.650 -7.824 4.293
K Re Cd
2 1 1
Direct
0.506 0.506 0.506
0.994 0.994 0.994
0.250 0.250 0.250
0.750 0.750 0.750

BeZnCd, relaxed, DFT PBE-GGA; size of the total moment = 0.00 Bohr magnetons per cell; energy relative to the elements = 0.21 eV per atom; N(E_F) = 0.35 states/eV/f.u.; space-group type = Pmmm; offset from the most stable computed form = 0 kJ/mol of formula units; crystal system = orthorhombic
1.0
2.681 0.000 0.014
0.000 4.103 0.000
-0.025 0.000 4.473
Cd Zn Be
1 1 1
Direct
0.500 0.500 0.500
0.500 0.000 0.000
0.000 0.500 0.000

Pm3Th2In2, relaxed, DFT PBE-GGA; size of the total moment = 0.00 Bohr magnetons per cell; energy relative to the elements = -0.13 eV per atom; N(E_F) = 8.13 states/eV/f.u.; space-group type = Cmmm; crystal system = orthorhombic
1.0
4.802 0.000 0.637
0.000 3.532 0.000
0.759 0.000 12.691
Th Pm In
2 3 2
Direct
0.713 0.500 0.573
0.287 0.500 0.427
0.000 0.000 0.000
0.863 0.000 0.274
0.137 0.000 0.726
0.570 0.500 0.860
0.430 0.500 0.140

Sm2HoZr, relaxed, DFT PBE-GGA; size of the total moment = 0.00 Bohr magnetons per cell; energy relative to the elements = 0.30 eV per atom; N(E_F) = 5.00 states/eV/f.u.; space-group type = R-3m; offset from the most stable computed form = 75 kJ/mol of formula units; crystal system = trigonal
1.0
3.392 0.000 0.000
1.696 2.937 0.000
1.696 0.979 12.065
Zr Ho Sm
1 1 2
Direct
0.000 0.000 0.000
0.500 0.500 0.500
0.914 0.914 0.258
0.086 0.086 0.742

PrCu2SiPd2, relaxed, DFT PBE-GGA; size of the total moment = 0.00 Bohr magnetons per cell; N(E_F) = 3.23 states/eV/f.u.; space-group type = P4/mmm; formation energy from raw total energies = -106 kJ/mol of formula units; crystal system = tetragonal
1.0
-4.161 -1.024 -1.034
-0.425 -2.141 3.830
-1.815 4.844 2.507
Pd Pr Cu Si
2 1 2 1
Direct
0.500 0.500 0.739
0.500 0.500 0.261
0.000 0.000 0.500
0.500 0.000 0.000
0.000 0.500 0.000
0.000 0.000 0.000

ZrInAg2, relaxed, DFT PBE-GGA; size of the total moment = 0.00 Bohr magnetons per cell; energy relative to the elements = -0.06 eV per atom; N(E_F) = 1.86 states/eV/f.u.; space-group type = C2/m; crystal system = monoclinic
1.0
-3.351 -0.370 3.892
-1.137 -2.277 4.476
2.418 3.811 3.274
In Ag Zr
1 2 1
Direct
0.250 0.250 0.250
0.000 0.000 0.992
0.500 0.500 0.508
0.750 0.750 0.750

Ordered E results: -2.852, -1.761, -5.065, -5.340, -4.980, -4.308; unit eV/atom.